# 1
A plane-wave DFT calculation with PBE was carried out for a relaxed structure of Hf3SiSn.

Cell lengths 4.879, 4.879, 4.879 Å; angles 90.00, 90.00, 90.00 degrees
Atoms (fractional coordinates):
Hf 0.000 0.000 0.500
Hf 0.000 0.500 0.000
Hf 0.500 0.000 0.000
Si 0.000 0.000 0.000
Sn 0.500 0.500 0.500

Output
Offset from the most stable computed form   352 meV/atom
ρ   9.76 g cm⁻³
Raw formation energy   0.466 eV per formula unit
M_tot   0.000 μB/atom
DOS at the Fermi energy   0.629 states/eV per atom

---

# 2
A plane-wave DFT calculation with PBE was carried out for a relaxed structure of PrSm8Sn6.

Cell lengths 8.475, 8.475, 8.475 Å; angles 66.39, 66.39, 66.39 degrees
Atoms (fractional coordinates):
Pr 0.000 0.000 0.000
Sm 0.105 0.773 0.435
Sm 0.227 0.565 0.895
Sm 0.333 0.333 0.333
Sm 0.435 0.105 0.773
Sm 0.565 0.895 0.227
Sm 0.667 0.667 0.667
Sm 0.773 0.435 0.105
Sm 0.895 0.227 0.565
Sn 0.067 0.405 0.731
Sn 0.269 0.933 0.595
Sn 0.405 0.731 0.067
Sn 0.595 0.269 0.933
Sn 0.731 0.067 0.405
Sn 0.933 0.595 0.269

Output
ρ   6.97 g cm⁻³
M_tot   0.000 μB/atom
DOS at the Fermi energy   0.628 states/eV per atom
Formation enthalpy at 0 K   -567 meV per atom

---

# 3
A plane-wave DFT calculation with PBE was carried out for a relaxed structure of PrTm4Hg4.

Cell lengths 9.593, 9.593, 5.428 Å; angles 90.00, 90.00, 90.00 degrees
Atoms (fractional coordinates):
Pr 0.250 0.250 0.250
Pr 0.750 0.750 0.750
Tm 0.104 0.840 0.673
Tm 0.160 0.604 0.173
Tm 0.340 0.896 0.173
Tm 0.396 0.660 0.673
Tm 0.604 0.340 0.327
Tm 0.660 0.104 0.827
Tm 0.840 0.396 0.827
Tm 0.896 0.160 0.327
Hg 0.039 0.144 0.827
Hg 0.144 0.461 0.673
Hg 0.356 0.039 0.673
Hg 0.461 0.356 0.827
Hg 0.539 0.644 0.173
Hg 0.644 0.961 0.327
Hg 0.856 0.539 0.327
Hg 0.961 0.856 0.173

Output
ρ   10.76 g cm⁻³
M_tot   0.000 μB/atom
DOS at the Fermi energy   0.999 states/eV per atom
Formation enthalpy at 0 K   -248 meV per atom

---

# 4
A plane-wave DFT calculation with PBE was carried out for a relaxed structure of CdIn2Br8.

Cell lengths 10.698, 10.698, 13.240 Å; angles 126.31, 126.31, 50.45 degrees
Atoms (fractional coordinates):
Cd 0.001 0.999 0.750
Cd 0.999 0.001 0.250
In 0.164 0.662 0.963
In 0.338 0.836 0.537
In 0.662 0.164 0.463
In 0.836 0.338 0.037
Br 0.138 0.175 0.022
Br 0.140 0.710 0.309
Br 0.146 0.673 0.765
Br 0.175 0.138 0.522
Br 0.290 0.860 0.191
Br 0.324 0.354 0.943
Br 0.327 0.854 0.735
Br 0.354 0.324 0.443
Br 0.646 0.676 0.557
Br 0.673 0.146 0.265
Br 0.676 0.646 0.057
Br 0.710 0.140 0.809
Br 0.825 0.862 0.478
Br 0.854 0.327 0.235
Br 0.860 0.290 0.691
Br 0.862 0.825 0.978

Output
Offset from the most stable computed form   0 meV/atom
ρ   3.69 g cm⁻³
Raw formation energy   -8.794 eV per formula unit
M_tot   0.000 μB/atom
DOS at the Fermi energy   0.000 states/eV per atom

---

# 5
A plane-wave DFT calculation with PBE was carried out for a relaxed structure of KCaTa.

Cell lengths 3.619, 3.619, 16.538 Å; angles 90.14, 90.31, 90.00 degrees
Atoms (fractional coordinates):
K 0.000 0.000 0.000
K 0.478 0.491 0.247
Ca 0.491 0.496 0.639
Ca 0.986 0.993 0.458
Ta 0.497 0.498 0.833
Ta 0.995 0.998 0.771

Output
Offset from the most stable computed form   132 meV/atom
ρ   3.99 g cm⁻³
M_tot   0.000 μB/atom
DOS at the Fermi energy   1.303 states/eV per atom
Formation enthalpy at 0 K   465 meV per atom

---

# 6
A plane-wave DFT calculation with PBE was carried out for a relaxed structure of NbPd3Au3.

Cell lengths 5.668, 5.668, 7.913 Å; angles 90.00, 90.00, 94.08 degrees
Atoms (fractional coordinates):
Nb 0.216 0.784 0.000
Nb 0.784 0.216 0.000
Pd 0.000 0.000 0.240
Pd 0.000 0.000 0.760
Pd 0.000 0.500 0.238
Pd 0.000 0.500 0.762
Pd 0.500 0.000 0.238
Pd 0.500 0.000 0.762
Au 0.254 0.254 0.500
Au 0.256 0.744 0.500
Au 0.312 0.312 0.000
Au 0.688 0.688 0.000
Au 0.744 0.256 0.500
Au 0.746 0.746 0.500

Output
ρ   13.14 g cm⁻³
M_tot   0.000 μB/atom
DOS at the Fermi energy   0.392 states/eV per atom
Formation enthalpy at 0 K   -94 meV per atom

---

# 7
A plane-wave DFT calculation with PBE was carried out for a relaxed structure of Nd2NiGe2.

Cell lengths 5.869, 5.869, 10.956 Å; angles 115.71, 115.71, 42.20 degrees
Atoms (fractional coordinates):
Nd 0.097 0.097 0.395
Nd 0.294 0.294 0.856
Nd 0.706 0.706 0.144
Nd 0.903 0.903 0.605
Ni 0.440 0.440 0.190
Ni 0.560 0.560 0.810
Ge 0.043 0.043 0.910
Ge 0.380 0.380 0.382
Ge 0.620 0.620 0.618
Ge 0.957 0.957 0.090

Output
ρ   7.29 g cm⁻³
M_tot   0.000 μB/atom
DOS at the Fermi energy   0.611 states/eV per atom
Formation enthalpy at 0 K   -755 meV per atom

---

# 8
A plane-wave DFT calculation with PBE was carried out for a relaxed structure of Dy5SiTe5.

Cell lengths 7.491, 7.491, 8.600 Å; angles 107.01, 107.01, 48.05 degrees
Atoms (fractional coordinates):
Dy 0.000 0.000 0.000
Dy 0.344 0.344 0.159
Dy 0.345 0.345 0.684
Dy 0.655 0.655 0.316
Dy 0.656 0.656 0.841
Si 0.500 0.500 0.000
Te 0.164 0.164 0.825
Te 0.172 0.172 0.336
Te 0.500 0.500 0.500
Te 0.828 0.828 0.664
Te 0.836 0.836 0.175

Output
ρ   7.22 g cm⁻³
Raw formation energy   -14.357 eV per formula unit
M_tot   0.000 μB/atom
DOS at the Fermi energy   0.227 states/eV per atom

---

# 9
A plane-wave DFT calculation with PBE was carried out for a relaxed structure of PmEuC.

Cell lengths 3.726, 3.726, 6.717 Å; angles 90.00, 90.00, 120.00 degrees
Atoms (fractional coordinates):
Pm 0.000 0.000 0.000
Eu 0.333 0.667 0.419
C 0.667 0.333 0.183

Output
ρ   6.35 g cm⁻³
M_tot   2.416 μB/atom
DOS at the Fermi energy   2.033 states/eV per atom
Formation enthalpy at 0 K   19 meV per atom

---

# 10
A plane-wave DFT calculation with PBE was carried out for a relaxed structure of K2CaAg.

Cell lengths 7.811, 7.811, 7.811 Å; angles 149.59, 130.63, 59.10 degrees
Atoms (fractional coordinates):
K 0.000 0.000 0.000
K 0.684 0.184 0.500
Ca 0.373 0.373 0.000
Ag 0.209 0.709 0.500

Output
Offset from the most stable computed form   89 meV/atom
ρ   2.07 g cm⁻³
M_tot   0.000 μB/atom
DOS at the Fermi energy   0.441 states/eV per atom
Formation enthalpy at 0 K   74 meV per atom

---

# 11
A plane-wave DFT calculation with PBE was carried out for a relaxed structure of NdTlTe2O6.

Cell lengths 7.167, 7.167, 7.787 Å; angles 98.41, 98.41, 102.94 degrees
Atoms (fractional coordinates):
Nd 0.064 0.936 0.750
Nd 0.936 0.064 0.250
Tl 0.314 0.686 0.250
Tl 0.686 0.314 0.750
Te 0.184 0.412 0.673
Te 0.412 0.184 0.173
Te 0.588 0.816 0.827
Te 0.816 0.588 0.327
O 0.030 0.808 0.433
O 0.045 0.590 0.758
O 0.192 0.970 0.067
O 0.236 0.290 0.867
O 0.290 0.236 0.367
O 0.410 0.955 0.742
O 0.590 0.045 0.258
O 0.710 0.764 0.633
O 0.764 0.710 0.133
O 0.808 0.030 0.933
O 0.955 0.410 0.242
O 0.970 0.192 0.567

Output
ρ   6.13 g cm⁻³
Raw formation energy   -16.210 eV per formula unit
M_tot   0.000 μB/atom
DOS at the Fermi energy   0.000 states/eV per atom

---

# 12
A plane-wave DFT calculation with PBE was carried out for a relaxed structure of BeCuSe2.

Cell lengths 6.488, 6.488, 6.488 Å; angles 130.91, 130.91, 71.96 degrees
Atoms (fractional coordinates):
Be 0.000 0.000 0.000
Be 0.750 0.250 0.500
Cu 0.250 0.750 0.500
Cu 0.500 0.500 0.000
Se 0.100 0.625 0.975
Se 0.375 0.350 0.475
Se 0.650 0.125 0.025
Se 0.875 0.900 0.525

Output
ρ   5.02 g cm⁻³
Raw formation energy   -1.648 eV per formula unit
M_tot   0.000 μB/atom
DOS at the Fermi energy   0.750 states/eV per atom

---

What is the formula in the eighth record?
Dy5SiTe5

---

What is the formula in the fifth record?
KCaTa

---

What is the formula in the fifth record?
KCaTa

---

M_tot of number 7 (Nd2NiGe2)?
0.000 μB/atom